Entry 1:
# PBE-GGA Ni2Pd2Pt3, optimized geometry
# - Total energy: -5.67 eV/atom
# - Space group: No. 71
# - DFT formation energy: 0.057 eV/atom
# - Density of states at the Fermi level: 10.79 states/eV per cell
data_Ni2Pd2Pt3
_chemical_formula_sum 'Ni2 Pd2 Pt3'
_cell_length_a 4.0806
_cell_length_b 2.7039
_cell_length_c 9.6180
_cell_angle_alpha 98.08
_cell_angle_beta 102.25
_cell_angle_gamma 90.00
_space_group_name_H-M_alt 'P 1'
_space_group_IT_number 1
_space_group_name_Hall 'P 1'
loop_
_atom_site_label
_atom_site_type_symbol
_atom_site_fract_x
_atom_site_fract_y
_atom_site_fract_z
Ni1 Ni 0.1526 0.6526 0.3051
Pt1 Pt 0.0000 0.0000 0.0000
Pt2 Pt 0.7083 0.2083 0.4165
Pt3 Pt 0.2917 0.7917 0.5835
Pd1 Pd 0.4268 0.4268 0.8537
Ni2 Ni 0.8474 0.3474 0.6949
Pd2 Pd 0.5732 0.5732 0.1463



Entry 2:
# PBE-GGA NiPd14Pt, optimized geometry
# - Total energy: -5.26 eV/atom
# - Space group: No. 38
# - DFT formation energy: 0.020 eV/atom
# - Density of states at the Fermi level: 35.17 states/eV per cell
data_NiPd14Pt
_chemical_formula_sum 'Ni1 Pd14 Pt1'
_cell_length_a 5.5490
_cell_length_b 5.5490
_cell_length_c 9.1565
_cell_angle_alpha 90.00
_cell_angle_beta 90.00
_cell_angle_gamma 119.96
_space_group_name_H-M_alt 'P 1'
_space_group_IT_number 1
_space_group_name_Hall 'P 1'
loop_
_atom_site_label
_atom_site_type_symbol
_atom_site_fract_x
_atom_site_fract_y
_atom_site_fract_z
Pd1 Pd 0.5428 0.9564 0.5000
Ni1 Ni 0.0422 0.9578 0.5000
Pd2 Pd 0.3722 0.1241 0.7455
Pd3 Pd 0.8759 0.6278 0.7455
Pd4 Pd 0.7086 0.7926 0.0000
Pd5 Pd 0.8759 0.6278 0.2545
Pd6 Pd 0.7076 0.2924 0.0000
Pd7 Pd 0.2074 0.7926 0.0000
Pd8 Pd 0.3751 0.6249 0.2496
Pd9 Pd 0.0436 0.4572 0.5000
Pd10 Pd 0.8761 0.1239 0.7474
Pt1 Pt 0.5419 0.4581 0.5000
Pd11 Pd 0.8761 0.1239 0.2526
Pd12 Pd 0.3751 0.6249 0.7504
Pd13 Pd 0.3722 0.1241 0.2545
Pd14 Pd 0.2074 0.2914 0.0000



Entry 3:
# PBE-GGA Ni7PdPt2, optimized geometry
# - Total energy: -5.64 eV/atom
# - Space group: No. 2
# - DFT formation energy: 0.133 eV/atom
# - Density of states at the Fermi level: 15.65 states/eV per cell
data_Ni7PdPt2
_chemical_formula_sum 'Ni7 Pd1 Pt2'
_cell_length_a 4.2834
_cell_length_b 6.2368
_cell_length_c 6.0033
_cell_angle_alpha 112.17
_cell_angle_beta 104.30
_cell_angle_gamma 105.80
_space_group_name_H-M_alt 'P 1'
_space_group_IT_number 1
_space_group_name_Hall 'P 1'
loop_
_atom_site_label
_atom_site_type_symbol
_atom_site_fract_x
_atom_site_fract_y
_atom_site_fract_z
Pd1 Pd 0.0000 0.0000 0.0000
Ni1 Ni 0.9426 0.1764 0.6670
Ni2 Ni 0.5449 0.9357 0.1932
Ni3 Ni 0.8672 0.3775 0.2670
Ni4 Ni 0.0574 0.8236 0.3330
Pt1 Pt 0.4436 0.2991 0.5267
Pt2 Pt 0.5564 0.7009 0.4733
Ni5 Ni 0.1328 0.6225 0.7330
Ni6 Ni 0.4551 0.0643 0.8068
Ni7 Ni 0.5000 0.5000 0.0000



Entry 4:
# PBE-GGA Ni2PdPt, optimized geometry
# - Total energy: -5.74 eV/atom
# - Space group: No. 65
# - DFT formation energy: -0.042 eV/atom
# - Density of states at the Fermi level: 6.39 states/eV per cell
data_Ni2PdPt
_chemical_formula_sum 'Ni2 Pd1 Pt1'
_cell_length_a 2.7116
_cell_length_b 4.5296
_cell_length_c 4.5296
_cell_angle_alpha 105.99
_cell_angle_beta 90.00
_cell_angle_gamma 90.00
_space_group_name_H-M_alt 'P 1'
_space_group_IT_number 1
_space_group_name_Hall 'P 1'
loop_
_atom_site_label
_atom_site_type_symbol
_atom_site_fract_x
_atom_site_fract_y
_atom_site_fract_z
Ni1 Ni 0.0000 0.0000 0.5000
Ni2 Ni 0.0000 0.5000 0.0000
Pt1 Pt 0.5000 0.5000 0.5000
Pd1 Pd 0.5000 0.0000 0.0000



Entry 5:
# PBE-GGA Ni4Pd10Pt, optimized geometry
# - Total energy: -5.06 eV/atom
# - Space group: No. 87
# - DFT formation energy: 0.343 eV/atom
# - Density of states at the Fermi level: 24.34 states/eV per cell
data_Ni4Pd10Pt
_chemical_formula_sum 'Ni4 Pd10 Pt1'
_cell_length_a 5.8645
_cell_length_b 7.1612
_cell_length_c 7.1612
_cell_angle_alpha 80.35
_cell_angle_beta 65.83
_cell_angle_gamma 65.83
_space_group_name_H-M_alt 'P 1'
_space_group_IT_number 1
_space_group_name_Hall 'P 1'
loop_
_atom_site_label
_atom_site_type_symbol
_atom_site_fract_x
_atom_site_fract_y
_atom_site_fract_z
Pd1 Pd 0.8462 0.6887 0.1031
Ni1 Ni 0.4022 0.7962 0.3994
Pd2 Pd 0.2500 0.5000 0.5000
Pd3 Pd 0.3621 0.6887 0.1031
Pd4 Pd 0.9492 0.8969 0.6887
Pd5 Pd 0.4651 0.8969 0.6887
Pd6 Pd 0.7500 0.5000 0.5000
Pt1 Pt 0.0000 0.0000 0.0000
Ni2 Ni 0.5978 0.2038 0.6006
Pd7 Pd 0.0508 0.1031 0.3113
Ni3 Ni 0.8016 0.6006 0.7962
Pd8 Pd 0.5349 0.1031 0.3113
Ni4 Ni 0.1984 0.3994 0.2038
Pd9 Pd 0.6379 0.3113 0.8969
Pd10 Pd 0.1538 0.3113 0.8969



Entry 6:
# PBE-GGA Ni3Pd2Pt2, optimized geometry
# - Total energy: -5.65 eV/atom
# - Space group: No. 2
# - DFT formation energy: 0.042 eV/atom
# - Density of states at the Fermi level: 11.78 states/eV per cell
data_Ni3Pd2Pt2
_chemical_formula_sum 'Ni3 Pd2 Pt2'
_cell_length_a 2.6972
_cell_length_b 6.1455
_cell_length_c 6.8363
_cell_angle_alpha 117.03
_cell_angle_beta 90.01
_cell_angle_gamma 102.73
_space_group_name_H-M_alt 'P 1'
_space_group_IT_number 1
_space_group_name_Hall 'P 1'
loop_
_atom_site_label
_atom_site_type_symbol
_atom_site_fract_x
_atom_site_fract_y
_atom_site_fract_z
Pt1 Pt 0.9089 0.8228 0.5702
Ni1 Ni 0.0000 0.0000 0.0000
Pd1 Pd 0.3607 0.7185 0.1621
Ni2 Ni 0.6960 0.3864 0.2466
Ni3 Ni 0.3040 0.6136 0.7534
Pd2 Pd 0.6393 0.2815 0.8379
Pt2 Pt 0.0911 0.1772 0.4298



Entry 7:
# PBE-GGA Ni8Pd6Pt, optimized geometry
# - Total energy: -5.39 eV/atom
# - Space group: No. 147
# - DFT formation energy: 0.169 eV/atom
# - Density of states at the Fermi level: 25.44 states/eV per cell
data_Ni8Pd6Pt
_chemical_formula_sum 'Ni8 Pd6 Pt1'
_cell_length_a 4.8830
_cell_length_b 6.9718
_cell_length_c 6.9719
_cell_angle_alpha 120.00
_cell_angle_beta 90.00
_cell_angle_gamma 90.00
_space_group_name_H-M_alt 'P 1'
_space_group_IT_number 1
_space_group_name_Hall 'P 1'
loop_
_atom_site_label
_atom_site_type_symbol
_atom_site_fract_x
_atom_site_fract_y
_atom_site_fract_z
Pd1 Pd 0.6752 0.9007 0.5628
Ni1 Ni 0.8426 0.2383 0.9450
Ni2 Ni 0.1574 0.7617 0.0550
Pd2 Pd 0.3248 0.0993 0.4372
Pd3 Pd 0.6752 0.6621 0.0993
Ni3 Ni 0.1706 0.6667 0.3333
Pd4 Pd 0.3248 0.5628 0.6621
Ni4 Ni 0.8294 0.3333 0.6667
Ni5 Ni 0.8426 0.7067 0.7617
Pt1 Pt 0.5000 0.0000 0.0000
Ni6 Ni 0.8426 0.0550 0.2933
Pd5 Pd 0.6752 0.4372 0.3379
Pd6 Pd 0.3248 0.3379 0.9007
Ni7 Ni 0.1574 0.9450 0.7067
Ni8 Ni 0.1574 0.2933 0.2383



Entry 8:
# PBE-GGA Ni2PdPt5, optimized geometry
# - Total energy: -5.87 eV/atom
# - Space group: No. 1
# - DFT formation energy: 0.002 eV/atom
# - Density of states at the Fermi level: 15.82 states/eV per cell
data_Ni2PdPt5
_chemical_formula_sum 'Ni2 Pd1 Pt5'
_cell_length_a 4.7232
_cell_length_b 6.5697
_cell_length_c 5.3002
_cell_angle_alpha 126.05
_cell_angle_beta 63.44
_cell_angle_gamma 111.08
_space_group_name_H-M_alt 'P 1'
_space_group_IT_number 1
_space_group_name_Hall 'P 1'
loop_
_atom_site_label
_atom_site_type_symbol
_atom_site_fract_x
_atom_site_fract_y
_atom_site_fract_z
Pd1 Pd 0.1784 0.1638 0.1514
Ni1 Ni 0.5821 0.0318 0.5287
Pt1 Pt 0.0710 0.2829 0.7842
Pt2 Pt 0.1756 0.6630 0.6538
Pt3 Pt 0.6639 0.4072 0.4221
Pt4 Pt 0.0776 0.7823 0.2840
Pt5 Pt 0.6662 0.9083 0.9177
Ni2 Ni 0.5850 0.5377 0.0352



Entry 9:
# PBE-GGA NiPd2Pt4, optimized geometry
# - Total energy: -5.67 eV/atom
# - Space group: No. 65
# - DFT formation energy: 0.093 eV/atom
# - Density of states at the Fermi level: 12.84 states/eV per cell
data_NiPd2Pt4
_chemical_formula_sum 'Ni1 Pd2 Pt4'
_cell_length_a 2.7363
_cell_length_b 3.6900
_cell_length_c 11.1788
_cell_angle_alpha 90.00
_cell_angle_beta 97.03
_cell_angle_gamma 90.00
_space_group_name_H-M_alt 'P 1'
_space_group_IT_number 1
_space_group_name_Hall 'P 1'
loop_
_atom_site_label
_atom_site_type_symbol
_atom_site_fract_x
_atom_site_fract_y
_atom_site_fract_z
Pt1 Pt 0.3699 0.0000 0.7399
Pt2 Pt 0.0614 0.5000 0.1228
Pd1 Pd 0.8027 0.5000 0.6055
Pt3 Pt 0.9386 0.5000 0.8772
Pd2 Pd 0.1973 0.5000 0.3945
Ni1 Ni 0.5000 0.0000 0.0000
Pt4 Pt 0.6301 0.0000 0.2601



Entry 10:
# PBE-GGA Ni4Pd4Pt, optimized geometry
# - Total energy: -5.54 eV/atom
# - Space group: No. 139
# - DFT formation energy: 0.010 eV/atom
# - Density of states at the Fermi level: 13.88 states/eV per cell
data_Ni4Pd4Pt
_chemical_formula_sum 'Ni4 Pd4 Pt1'
_cell_length_a 3.7164
_cell_length_b 6.0399
_cell_length_c 6.0399
_cell_angle_alpha 84.57
_cell_angle_beta 72.08
_cell_angle_gamma 72.08
_space_group_name_H-M_alt 'P 1'
_space_group_IT_number 1
_space_group_name_Hall 'P 1'
loop_
_atom_site_label
_atom_site_type_symbol
_atom_site_fract_x
_atom_site_fract_y
_atom_site_fract_z
Pd1 Pd 0.0000 0.6739 0.3261
Pd2 Pd 0.3261 0.6739 0.6739
Pt1 Pt 0.0000 0.0000 0.0000
Ni1 Ni 0.6659 0.6683 0.0000
Ni2 Ni 0.6658 0.0000 0.6683
Ni3 Ni 0.3341 0.3317 0.0000
Pd3 Pd 0.0000 0.3261 0.6739
Ni4 Ni 0.3342 0.0000 0.3317
Pd4 Pd 0.6739 0.3261 0.3261



Entry 11:
# PBE-GGA NiPd3Pt12, optimized geometry
# - Total energy: -5.91 eV/atom
# - Space group: No. 123
# - DFT formation energy: -0.042 eV/atom
# - Density of states at the Fermi level: 31.65 states/eV per cell
data_NiPd3Pt12
_chemical_formula_sum 'Ni1 Pd3 Pt12'
_cell_length_a 3.9384
_cell_length_b 3.9384
_cell_length_c 15.8686
_cell_angle_alpha 90.00
_cell_angle_beta 90.00
_cell_angle_gamma 90.00
_space_group_name_H-M_alt 'P 1'
_space_group_IT_number 1
_space_group_name_Hall 'P 1'
loop_
_atom_site_label
_atom_site_type_symbol
_atom_site_fract_x
_atom_site_fract_y
_atom_site_fract_z
Pt1 Pt 0.5000 0.0000 0.6265
Pt2 Pt 0.5000 0.5000 0.5000
Pt3 Pt 0.5000 0.0000 0.8805
Pt4 Pt 0.5000 0.0000 0.3735
Ni1 Ni 0.0000 0.0000 0.0000
Pd1 Pd 0.0000 0.0000 0.7534
Pt5 Pt 0.5000 0.5000 0.0000
Pt6 Pt 0.5000 0.5000 0.2466
Pt7 Pt 0.0000 0.5000 0.6265
Pt8 Pt 0.0000 0.5000 0.3735
Pt9 Pt 0.5000 0.5000 0.7534
Pd2 Pd 0.0000 0.0000 0.2466
Pt10 Pt 0.5000 0.0000 0.1195
Pt11 Pt 0.0000 0.5000 0.8805
Pt12 Pt 0.0000 0.5000 0.1195
Pd3 Pd 0.0000 0.0000 0.5000



Entry 12:
# PBE-GGA Ni2Pd4Pt, optimized geometry
# - Total energy: -5.15 eV/atom
# - Space group: No. 227
# - DFT formation energy: 0.335 eV/atom
# - Density of states at the Fermi level: 62.37 states/eV per cell
data_Ni2Pd4Pt
_chemical_formula_sum 'Ni8 Pd16 Pt4'
_cell_length_a 8.6387
_cell_length_b 8.6387
_cell_length_c 8.6387
_cell_angle_alpha 60.00
_cell_angle_beta 60.00
_cell_angle_gamma 60.00
_space_group_name_H-M_alt 'P 1'
_space_group_IT_number 1
_space_group_name_Hall 'P 1'
loop_
_atom_site_label
_atom_site_type_symbol
_atom_site_fract_x
_atom_site_fract_y
_atom_site_fract_z
Pd1 Pd 0.0124 0.0124 0.4876
Pd2 Pd 0.7624 0.2376 0.2376
Pd3 Pd 0.2376 0.2376 0.7624
Pd4 Pd 0.1250 0.6250 0.6250
Pd5 Pd 0.4876 0.0124 0.0124
Pd6 Pd 0.0124 0.4876 0.0124
Ni1 Ni 0.4234 0.4234 0.4234
Pd7 Pd 0.2376 0.7624 0.7624
Pt1 Pt 0.1250 0.1250 0.1250
Pd8 Pd 0.0124 0.4876 0.4876
Ni2 Ni 0.7297 0.4234 0.4234
Pt2 Pt 0.1250 0.1250 0.6250
Ni3 Ni 0.8266 0.5203 0.8266
Ni4 Ni 0.8266 0.8266 0.8266
Pd9 Pd 0.4876 0.4876 0.0124
Pd10 Pd 0.7624 0.2376 0.7624
Pd11 Pd 0.2376 0.7624 0.2376
Ni5 Ni 0.8266 0.8266 0.5203
Pd12 Pd 0.4876 0.0124 0.4876
Ni6 Ni 0.4234 0.4234 0.7297
Pt3 Pt 0.1250 0.6250 0.1250
Pt4 Pt 0.6250 0.1250 0.1250
Ni7 Ni 0.4234 0.7297 0.4234
Pd13 Pd 0.6250 0.1250 0.6250
Ni8 Ni 0.5203 0.8266 0.8266
Pd14 Pd 0.6250 0.6250 0.6250
Pd15 Pd 0.7624 0.7624 0.2376
Pd16 Pd 0.6250 0.6250 0.1250